Density functional theory data (PBE-GGA) for a relaxed structure of AcCeHoTl.

abc: 5.6205 5.6205 5.6205
angles: 60.00 60.00 60.00
Last column: nearest neighbours and their distance in Å.
Positions (direct):
Tl 0.0000 0.0000 0.0000  4 Ce 3.44, 4 Ho 3.44
Ce 0.2500 0.2500 0.2500  4 Ac 3.44, 4 Tl 3.44
Ho 0.7500 0.7500 0.7500  4 Tl 3.44, 4 Ac 3.44
Ac 0.5000 0.5000 0.5000  4 Ho 3.44, 4 Ce 3.44

Output
Energy of formation (eV/atom): 0.071
N(E_F) (states/eV per cell): 9.97
Total DFT energy (no corrections) (eV per atom): -4.1753
Symmetry: No. 216


Density functional theory data (PBE-GGA) for a relaxed structure of AcCeHo2Tl4.

abc: 5.5272 5.5272 9.5915
angles: 73.25 73.25 60.00
Last column: nearest neighbours and their distance in Å.
Positions (direct):
Ac 0.0000 0.0000 0.0000  8 Tl 3.42-3.46
Tl 0.6218 0.6218 0.1346  1 Ce 3.31, 4 Ho 3.36-3.50, 3 Ac 3.42
Tl 0.1274 0.1274 0.6179  4 Ho 3.31-3.40, 3 Ce 3.36, 1 Ac 3.46
Tl 0.8726 0.8726 0.3821  4 Ho 3.31-3.40, 3 Ce 3.36, 1 Ac 3.46
Tl 0.3782 0.3782 0.8654  1 Ce 3.31, 4 Ho 3.36-3.50, 3 Ac 3.42
Ho 0.2493 0.2493 0.2521  8 Tl 3.31-3.50
Ho 0.7507 0.7507 0.7479  8 Tl 3.31-3.50
Ce 0.5000 0.5000 0.5000  8 Tl 3.31-3.36

Output
Energy of formation (eV/atom): -0.286
N(E_F) (states/eV per cell): 12.48
Total DFT energy (no corrections) (eV per atom): -3.8689
Symmetry: No. 166